Here is crystalline AlSN2O at its relaxed geometry from Alexandria via LeMat-Bulk. Energies are from PBE.

Properties
**Total energy**: -4.183 eV per atom
**Formation energy without anion corrections**: 1713 meV per atom
**Crystal system**: tetragonal

Cell: 3.754 3.754 3.698 Å, 90.00 90.00 90.00°
Sites, in units of the cell vectors:
Al 0.000 0.000 0.000
S 0.500 0.500 0.000
N 0.000 0.500 0.500
N 0.500 0.000 0.500
O 0.500 0.500 0.500